[1]
# PBE SrMg2, relaxed
# - Calculated formation energy: 2.1 kJ/mol of atoms
# - DFT total energy: -19.23 eV for the cell shown
data_SrMg2
_space_group_name_H-M_alt 'C m m m'
_space_group_IT_number 65
_space_group_name_Hall '-C 2 2'
_cell_length_a 4.979
_cell_length_b 16.665
_cell_length_c 4.600
_cell_angle_alpha 90.00
_cell_angle_beta 90.00
_cell_angle_gamma 90.00
loop_
_atom_site_label
_atom_site_type_symbol
_atom_site_fract_x
_atom_site_fract_y
_atom_site_fract_z
_atom_site_occupancy
Sr1 Sr 0.000 0.166 0.000 1
Mg1 Mg 0.000 0.000 0.500 1
Mg2 Mg 0.000 0.371 0.500 1
Mg3 Mg 0.000 0.500 0.000 1

[2]
# PBE NdTl2Br5, relaxed
# - Formation energy from raw total energies: -1399 meV/atom
# - DFT total energy: -116.23 eV for the cell shown
data_NdTl2Br5
_space_group_name_H-M_alt 'P n m a'
_space_group_IT_number 62
_cell_length_a 13.632
_cell_length_b 9.239
_cell_length_c 8.681
_cell_angle_alpha 90.00
_cell_angle_beta 90.00
_cell_angle_gamma 90.00
loop_
_space_group_symop_operation_xyz
'x,y,z'
'-x,-y,-z'
'-x+1/2,-y,z+1/2'
'x+1/2,y,-z+1/2'
'x+1/2,-y+1/2,-z+1/2'
'-x+1/2,y+1/2,z+1/2'
'-x,y+1/2,-z'
'x,-y+1/2,z'
loop_
_atom_site_label
_atom_site_type_symbol
_atom_site_fract_x
_atom_site_fract_y
_atom_site_fract_z
_atom_site_occupancy
Nd1 Nd 0.006 0.250 0.077 1
Tl1 Tl 0.173 0.003 0.559 1
Br1 Br 0.008 0.250 0.421 1
Br2 Br 0.074 0.545 0.167 1
Br3 Br 0.184 0.250 0.884 1
Br4 Br 0.205 0.750 0.843 1

[3]
# PBE Tb7PCl12, relaxed
# - Formation energy from raw total energies: -2013 meV/atom
# - DFT total energy: -300.72 eV for the cell shown
data_Tb7PCl12
_space_group_name_H-M_alt 'R -3'
_space_group_IT_number 148
_space_group_name_Hall '-R 3'
_cell_length_a 14.1914
_cell_length_b 14.1914
_cell_length_c 9.5352
_cell_angle_alpha 90.00
_cell_angle_beta 90.00
_cell_angle_gamma 120.00
loop_
_atom_site_label
_atom_site_type_symbol
_atom_site_fract_x
_atom_site_fract_y
_atom_site_fract_z
_atom_site_occupancy
Tb1 Tb 0.0000 0.0000 0.0000 1
Tb2 Tb 0.0440 0.8754 0.3461 1
P1 P 0.0000 0.0000 0.5000 1
Cl1 Cl 0.0246 0.4401 0.1613 1
Cl2 Cl 0.0460 0.8715 0.8382 1

[4]
# PBE Tm6ScIn2, relaxed
# - Calculated formation energy: -19.7 kJ/mol of atoms
# - DFT total energy: -80.96 eV for the cell shown
data_Tm6ScIn2
_space_group_name_H-M_alt 'C 1 2/m 1'
_space_group_IT_number 12
_cell_length_a 12.429
_cell_length_b 3.637
_cell_length_c 11.592
_cell_angle_alpha 90.00
_cell_angle_beta 107.48
_cell_angle_gamma 90.00
loop_
_space_group_symop_operation_xyz
'x,y,z'
'-x,-y,-z'
'-x,y,-z'
'x,-y,z'
'x+1/2,y+1/2,z'
'-x+1/2,-y+1/2,-z'
'-x+1/2,y+1/2,-z'
'x+1/2,-y+1/2,z'
loop_
_atom_site_label
_atom_site_type_symbol
_atom_site_fract_x
_atom_site_fract_y
_atom_site_fract_z
_atom_site_occupancy
Tm1 Tm 0.019 0.000 0.344 1
Tm2 Tm 0.173 0.500 0.880 1
Tm3 Tm 0.189 0.500 0.588 1
Sc1 Sc 0.000 0.000 0.000 1
In1 In 0.143 0.500 0.192 1